A plane-wave DFT calculation with PBEsol was carried out for a relaxed structure of K3TlRe.

Structure (CIF):
```
data_K3TlRe
_chemical_formula_sum 'K3 Tl1 Re1'
_cell_length_a 6.4349
_cell_length_b 6.4349
_cell_length_c 6.4349
_cell_angle_alpha 90.00
_cell_angle_beta 90.00
_cell_angle_gamma 90.00
_space_group_name_H-M_alt 'P 1'
_space_group_IT_number 1
loop_
_space_group_symop_operation_xyz
'x,y,z'
loop_
_atom_site_label
_atom_site_type_symbol
_atom_site_fract_x
_atom_site_fract_y
_atom_site_fract_z
K1 K 0.0000 0.5000 0.0000
K2 K 0.5000 0.0000 0.0000
K3 K 0.0000 0.0000 0.5000
Re1 Re 0.5000 0.5000 0.5000
Tl1 Tl 0.0000 0.0000 0.0000
```

## Properties
Space-group type: No. 221
Raw total energy (eV/atom): -2.22
Magnetic moment (μB/f.u.): 4.566
ΔH_f (0 K) (kJ/mol of formula units): 799